First-principles (PBE) data for Ca2AgSe after structural relaxation, as listed in Alexandria via LeMat-Bulk.

POSCAR file:
```
Ca2AgSe
1.0
-8.2936 1.9076 -1.5695
-8.2450 -2.3284 -1.2182
-8.3490 0.0928 2.2741
Ca Se Ag
2 1 1
Direct
0.0263 0.0263 0.0263 Ca
0.2171 0.2171 0.2171 Ca
0.4918 0.4918 0.4918 Se
0.7648 0.7648 0.7648 Ag
```

**Magnetization**: 0.46 μB/cell
**Density**: 3.414 g/cm³
**Formation energy without anion corrections**: -0.57 eV/atom
**Total energy**: -3.16 eV per atom